Here is SrAgS2O8 after structural relaxation from Alexandria. Energies are from PBE.

Summary:
calculated total energy	-5.8815	eV per atom
formation energy (no corrections)	-1.51	eV/atom
ρ	4.05	g/cm3
volume	477.0	Å³ per cell
total moment	1.0	μB per formula unit

a b c (Å): 4.9905 4.9905 22.1177
angles (deg): 90.00 90.00 120.00
Space group R-3 (No. 148, hexagonal axes)
Inequivalent atoms, fractional coordinates:
1 Sr 0.0000 0.0000 0.0000 [3 per cell]
2 Ag 0.0000 0.0000 0.5000 [3 per cell]
3 S 0.0000 0.0000 0.2525 [6 per cell]
4 O 0.0000 0.0000 0.3201 [6 per cell]
5 O 0.0261 0.7299 0.7687 [18 per cell]

---

Here is TaAgS2O8 after structural relaxation from Alexandria. Energies are from PBE.

Summary:
calculated total energy	-6.4380	eV per atom
formation energy (no corrections)	-1.22	eV/atom
ρ	4.21	g/cm3
volume	189.7	Å³ per cell
total moment	1.6	μB per formula unit

a b c (Å): 5.2546 5.2546 7.9326
angles (deg): 90.00 90.00 120.00
Space group P-3m1 (No. 164)
Inequivalent atoms, fractional coordinates:
1 Ta 0.0000 0.0000 0.0000 [1 per cell]
2 Ag 0.0000 0.0000 0.5000 [1 per cell]
3 S 0.3333 0.6667 0.7721 [2 per cell]
4 O 0.1794 0.3588 0.8396 [6 per cell]
5 O 0.3333 0.6667 0.5901 [2 per cell]

---

Here is TbAg2SO6 after structural relaxation from Alexandria. Energies are from PBE.

Summary:
calculated total energy	-5.3951	eV per atom
formation energy (no corrections)	-0.97	eV/atom
ρ	5.00	g/cm3
volume	166.9	Å³ per cell
total moment	0.0	μB per formula unit

a b c (Å): 5.8204 5.8204 5.6895
angles (deg): 90.00 90.00 120.00
Space group P-3m1 (No. 164)
Inequivalent atoms, fractional coordinates:
1 Tb 0.0000 0.0000 0.0000 [1 per cell]
2 Ag 0.3333 0.6667 0.5171 [2 per cell]
3 S 0.0000 0.0000 0.5000 [1 per cell]
4 O 0.1356 0.2712 0.3226 [6 per cell]

---

Here is TbAgSO5 after structural relaxation from Alexandria. Energies are from PBE.

Summary:
calculated total energy	-6.3747	eV per atom
formation energy (no corrections)	-1.82	eV/atom
ρ	4.93	g/cm3
volume	510.2	Å³ per cell
total moment	0.0	μB per formula unit

a b c (Å): 7.968 8.907 8.178
angles (deg): 90.00 118.47 90.00
Space group C2/c (No. 15)
Inequivalent atoms, fractional coordinates:
1 Tb 0.250 0.250 0.000 [4 per cell]
2 Ag 0.000 0.066 0.250 [4 per cell]
3 S 0.000 0.411 0.250 [4 per cell]
4 O 0.000 0.169 0.750 [4 per cell]
5 O 0.053 0.310 0.136 [8 per cell]
6 O 0.166 0.494 0.873 [8 per cell]

---

Here is TbAgS2O8 after structural relaxation from Alexandria. Energies are from PBE.

Summary:
calculated total energy	-6.3377	eV per atom
formation energy (no corrections)	-1.72	eV/atom
ρ	4.51	g/cm3
volume	507.3	Å³ per cell
total moment	0.0	μB per formula unit

a b c (Å): 5.0837 5.0837 22.6671
angles (deg): 90.00 90.00 120.00
Space group R-3 (No. 148, hexagonal axes)
Inequivalent atoms, fractional coordinates:
1 Tb 0.0000 0.0000 0.0000 [3 per cell]
2 Ag 0.0000 0.0000 0.5000 [3 per cell]
3 S 0.0000 0.0000 0.2490 [6 per cell]
4 O 0.0000 0.0000 0.1846 [6 per cell]
5 O 0.0095 0.2806 0.7273 [18 per cell]

---

Here is TbAgSO after structural relaxation from Alexandria. Energies are from PBE.

Summary:
calculated total energy	-6.0876	eV per atom
formation energy (no corrections)	-1.95	eV/atom
ρ	7.32	g/cm3
volume	428.5	Å³ per cell
total moment	0.0	μB per formula unit

a b c (Å): 3.9513 3.9513 31.6914
angles (deg): 90.00 90.00 120.00
Space group R-3m (No. 166, hexagonal axes)
Inequivalent atoms, fractional coordinates:
1 Tb 0.0000 0.0000 0.1222 [6 per cell]
2 Ag 0.0000 0.0000 0.3059 [6 per cell]
3 S 0.0000 0.0000 0.3985 [6 per cell]
4 O 0.0000 0.0000 0.1934 [6 per cell]

---

Here is AgTeS2O8 after structural relaxation from Alexandria. Energies are from PBE.

Summary:
calculated total energy	-5.4586	eV per atom
formation energy (no corrections)	-0.97	eV/atom
ρ	3.66	g/cm3
volume	387.6	Å³ per cell
total moment	1.0	μB per formula unit

a b c (Å): 9.288 5.311 8.158
angles (deg): 90.00 105.61 90.00
Space group C2/m (No. 12)
Inequivalent atoms, fractional coordinates:
1 Ag 0.000 0.000 0.000 [2 per cell]
2 Te 0.000 0.000 0.500 [2 per cell]
3 S 0.146 0.500 0.730 [4 per cell]
4 O 0.041 0.270 0.714 [8 per cell]
5 O 0.215 0.500 0.590 [4 per cell]
6 O 0.246 0.500 0.902 [4 per cell]

---

Here is TiAgS2O8 after structural relaxation from Alexandria. Energies are from PBE.

Summary:
calculated total energy	-6.3966	eV per atom
formation energy (no corrections)	-1.51	eV/atom
ρ	3.40	g/cm3
volume	340.0	Å³ per cell
total moment	1.0	μB per formula unit

a b c (Å): 8.443 5.320 7.589
angles (deg): 90.00 94.16 90.00
Space group C2/m (No. 12)
Inequivalent atoms, fractional coordinates:
1 Ti 0.000 0.000 0.000 [2 per cell]
2 Ag 0.000 0.000 0.500 [2 per cell]
3 S 0.162 0.500 0.211 [4 per cell]
4 O 0.057 0.271 0.188 [8 per cell]
5 O 0.227 0.000 0.933 [4 per cell]
6 O 0.241 0.500 0.388 [4 per cell]

---

Here is UAgS2O8 after structural relaxation from Alexandria. Energies are from PBE.

Summary:
calculated total energy	-6.6542	eV per atom
formation energy (no corrections)	-1.48	eV/atom
ρ	4.55	g/cm3
volume	196.3	Å³ per cell
total moment	2.8	μB per formula unit

a b c (Å): 5.7154 5.7154 6.9380
angles (deg): 90.00 90.00 120.00
Space group P-3m1 (No. 164)
Inequivalent atoms, fractional coordinates:
1 U 0.0000 0.0000 0.0000 [1 per cell]
2 Ag 0.0000 0.0000 0.5000 [1 per cell]
3 S 0.3333 0.6667 0.7268 [2 per cell]
4 O 0.1915 0.3829 0.8077 [6 per cell]
5 O 0.3333 0.6667 0.5191 [2 per cell]